1.
A plane-wave DFT calculation with PBEsol was carried out for an optimized crystal structure of MgH3Pb.

Cell and atoms, written as CIF:
```
data_MgH3Pb
_cell_length_a 4.2699
_cell_length_b 4.2699
_cell_length_c 4.2699
_cell_angle_alpha 90.00
_cell_angle_beta 90.00
_cell_angle_gamma 90.00
_space_group_name_H-M_alt 'P m -3 m'
_space_group_IT_number 221
_space_group_name_Hall '-P 4 2 3'
loop_
_atom_site_label
_atom_site_fract_x
_atom_site_fract_y
_atom_site_fract_z
Mg1 0.0000 0.0000 0.0000
H1 0.0000 0.5000 0.5000
Pb1 0.5000 0.5000 0.5000
```

Calculated values
Calculated density (Mg/m³): 5.00
Total magnetic moment (μB per cell): 0.000
Total energy (eV/atom): -2.60

2.
A plane-wave DFT calculation with PBEsol was carried out for an optimized crystal structure of EuAl2Ag3.

Cell and atoms, written as CIF:
```
data_EuAl2Ag3
_cell_length_a 5.6554
_cell_length_b 5.6554
_cell_length_c 4.2250
_cell_angle_alpha 90.00
_cell_angle_beta 90.00
_cell_angle_gamma 120.00
_space_group_name_H-M_alt 'P 6/m m m'
_space_group_IT_number 191
_space_group_name_Hall '-P 6 2'
loop_
_atom_site_label
_atom_site_fract_x
_atom_site_fract_y
_atom_site_fract_z
Eu1 0.0000 0.0000 0.0000
Al1 0.3333 0.6667 0.0000
Ag1 0.0000 0.5000 0.5000
```

Calculated values
Calculated density (Mg/m³): 7.51
Total magnetic moment (μB per cell): 7.247
Total energy (eV/atom): -5.05
DFT formation energy (eV/atom): -0.272

3.
A plane-wave DFT calculation with PBEsol was carried out for an optimized crystal structure of AlHg2Sb.

Cell and atoms, written as CIF:
```
data_AlHg2Sb
_cell_length_a 3.2695
_cell_length_b 3.2695
_cell_length_c 8.3985
_cell_angle_alpha 90.00
_cell_angle_beta 90.00
_cell_angle_gamma 90.00
_space_group_name_H-M_alt 'P 4 m m'
_space_group_IT_number 99
_space_group_name_Hall 'P 4 -2'
loop_
_atom_site_label
_atom_site_fract_x
_atom_site_fract_y
_atom_site_fract_z
Al1 0.0000 0.0000 0.0000
Hg1 0.0000 0.0000 0.4719
Hg2 0.5000 0.5000 0.2098
Sb1 0.5000 0.5000 0.7653
```

Calculated values
Calculated density (Mg/m³): 10.17
Total magnetic moment (μB per cell): 0.000
Total energy (eV/atom): -2.33
Energy relative to the elements, uncorrected (eV/atom): 0.1171

4.
A plane-wave DFT calculation with PBEsol was carried out for an optimized crystal structure of AgBiI4O12.

Cell and atoms, written as CIF:
```
data_AgBiI4O12
_cell_length_a 31.4832
_cell_length_b 5.5276
_cell_length_c 12.5892
_cell_angle_alpha 90.00
_cell_angle_beta 90.15
_cell_angle_gamma 90.00
_space_group_name_H-M_alt 'C 1 c 1'
_space_group_IT_number 9
_space_group_name_Hall 'C -2yc'
loop_
_atom_site_label
_atom_site_fract_x
_atom_site_fract_y
_atom_site_fract_z
Ag1 0.0000 0.2152 0.0000
Ag2 0.4283 0.2459 0.0867
Bi1 0.0887 0.3098 0.3833
Bi2 0.3847 0.2029 0.3846
I1 0.0290 0.2954 0.6790
I2 0.1089 0.2025 0.0926
I3 0.1679 0.2439 0.7816
I4 0.2069 0.3100 0.5150
I5 0.2673 0.1909 0.2453
I6 0.3060 0.2587 0.9763
I7 0.3638 0.3110 0.6761
I8 0.4706 0.2614 0.8362
O1 0.0189 0.1584 0.4159
O2 0.0310 0.4028 0.8185
O3 0.0706 0.4096 0.0254
O4 0.0760 0.1554 0.2117
O5 0.0873 0.0744 0.5360
O6 0.1232 0.4498 0.7455
O7 0.1390 0.0521 0.8759
O8 0.1591 0.4546 0.4584
O9 0.1638 0.0546 0.6610
O10 0.2103 0.4870 0.6373
O11 0.2273 0.0304 0.3245
O12 0.2454 0.4753 0.4327
O13 0.2649 0.0142 0.1227
O14 0.3094 0.4554 0.0947
O15 0.3140 0.0430 0.3057
O16 0.3336 0.4551 0.8799
O17 0.3519 0.0632 0.0123
O18 0.3844 0.3903 0.2163
O19 0.3975 0.3389 0.5577
O20 0.4016 0.1236 0.7552
O21 0.4439 0.4746 0.3949
O22 0.4474 0.0392 0.9326
O23 0.4880 0.0060 0.6326
O24 0.4914 0.4571 0.1885
```

Calculated values
Calculated density (Mg/m³): 6.16
Total magnetic moment (μB per cell): 0.001
Total energy (eV/atom): -4.80
Energy relative to the elements, uncorrected (eV/atom): -0.4824

5.
A plane-wave DFT calculation with PBEsol was carried out for an optimized crystal structure of AlSi2Os.

Cell and atoms, written as CIF:
```
data_AlSi2Os
_cell_length_a 5.0887
_cell_length_b 7.0844
_cell_length_c 2.9808
_cell_angle_alpha 90.00
_cell_angle_beta 90.00
_cell_angle_gamma 90.00
_space_group_name_H-M_alt 'C m m m'
_space_group_IT_number 65
_space_group_name_Hall '-C 2 2'
loop_
_atom_site_label
_atom_site_fract_x
_atom_site_fract_y
_atom_site_fract_z
Al1 0.0000 0.0000 0.0000
Si1 0.2500 0.2500 0.5000
Os1 0.0000 0.5000 0.0000
```

Calculated values
Calculated density (Mg/m³): 8.45
Total magnetic moment (μB per cell): 0.000
Total energy (eV/atom): -6.98
Energy relative to the elements, uncorrected (eV/atom): -0.0346

6.
A plane-wave DFT calculation with PBEsol was carried out for an optimized crystal structure of BaZrAg2.

Cell and atoms, written as CIF:
```
data_BaZrAg2
_cell_length_a 3.5420
_cell_length_b 3.5420
_cell_length_c 7.8250
_cell_angle_alpha 90.00
_cell_angle_beta 90.00
_cell_angle_gamma 90.00
_space_group_name_H-M_alt 'P 4/m m m'
_space_group_IT_number 123
_space_group_name_Hall '-P 4 2'
loop_
_atom_site_label
_atom_site_fract_x
_atom_site_fract_y
_atom_site_fract_z
Ba1 0.0000 0.0000 0.0000
Zr1 0.0000 0.0000 0.5000
Ag1 0.5000 0.5000 0.3110
```

Calculated values
Calculated density (Mg/m³): 7.52
Total magnetic moment (μB per cell): 0.368
Total energy (eV/atom): -4.47
DFT formation energy (eV/atom): -0.004

7.
A plane-wave DFT calculation with PBEsol was carried out for an optimized crystal structure of Cu3Mo12S16.

Cell and atoms, written as CIF:
```
data_Cu3Mo12S16
_cell_length_a 6.4075
_cell_length_b 8.6826
_cell_length_c 9.4442
_cell_angle_alpha 89.62
_cell_angle_beta 87.87
_cell_angle_gamma 83.64
_space_group_name_H-M_alt 'P 1'
_space_group_IT_number 1
_space_group_name_Hall 'P 1'
loop_
_atom_site_label
_atom_site_fract_x
_atom_site_fract_y
_atom_site_fract_z
Cu1 0.0000 0.0000 0.0000
Cu2 0.0619 0.2047 0.6873
Cu3 0.1756 0.5959 0.3001
Mo1 0.2965 0.5784 0.8307
Mo2 0.3064 0.0765 0.3292
Mo3 0.4835 0.6691 0.0634
Mo4 0.4880 0.1737 0.5606
Mo5 0.5365 0.3602 0.9902
Mo6 0.5482 0.8609 0.4922
Mo7 0.6271 0.7397 0.8019
Mo8 0.6339 0.2387 0.2989
Mo9 0.6819 0.4310 0.7298
Mo10 0.6900 0.9307 0.2290
Mo11 0.8686 0.5237 0.9636
Mo12 0.8730 0.0236 0.4639
S1 0.2100 0.4938 0.0738
S2 0.2166 0.9911 0.5692
S3 0.2829 0.8468 0.9058
S4 0.2947 0.3507 0.3940
S5 0.3571 0.3095 0.7772
S6 0.3676 0.8068 0.2818
S7 0.4662 0.6204 0.6043
S8 0.4702 0.1199 0.1028
S9 0.7015 0.4788 0.1880
S10 0.7018 0.9824 0.6901
S11 0.8067 0.2990 0.5128
S12 0.8071 0.7923 0.0121
S13 0.8859 0.2480 0.9014
S14 0.8900 0.7546 0.3875
S15 0.9526 0.6023 0.7219
S16 0.9644 0.1070 0.2207
```

Calculated values
Calculated density (Mg/m³): 5.90
Total magnetic moment (μB per cell): 0.001
Total energy (eV/atom): -7.93
Energy relative to the elements, uncorrected (eV/atom): -0.6929

8.
A plane-wave DFT calculation with PBEsol was carried out for an optimized crystal structure of YMgTe2.

Cell and atoms, written as CIF:
```
data_YMgTe2
_cell_length_a 4.3661
_cell_length_b 4.0576
_cell_length_c 12.1166
_cell_angle_alpha 90.00
_cell_angle_beta 90.00
_cell_angle_gamma 90.00
_space_group_name_H-M_alt 'A m m 2'
_space_group_IT_number 38
_space_group_name_Hall 'A 2 -2'
loop_
_atom_site_label
_atom_site_fract_x
_atom_site_fract_y
_atom_site_fract_z
Y1 0.0000 0.0000 0.0000
Mg1 0.5000 0.0000 0.2102
Te1 0.0000 0.0000 0.7018
Te2 0.5000 0.0000 0.4398
```

Calculated values
Calculated density (Mg/m³): 5.70
Total magnetic moment (μB per cell): 0.000
Total energy (eV/atom): -5.00
Energy relative to the elements, uncorrected (eV/atom): -1.0996

9.
A plane-wave DFT calculation with PBEsol was carried out for an optimized crystal structure of Na2Tl2Sn.

Cell and atoms, written as CIF:
```
data_Na2Tl2Sn
_cell_length_a 7.7383
_cell_length_b 7.7383
_cell_length_c 4.7938
_cell_angle_alpha 90.00
_cell_angle_beta 90.00
_cell_angle_gamma 90.00
_space_group_name_H-M_alt 'P 4/m b m'
_space_group_IT_number 127
_space_group_name_Hall '-P 4 2ab'
loop_
_atom_site_label
_atom_site_fract_x
_atom_site_fract_y
_atom_site_fract_z
Na1 0.1697 0.3303 0.0000
Tl1 0.1369 0.6369 0.5000
Sn1 0.0000 0.0000 0.5000
```

Calculated values
Calculated density (Mg/m³): 6.63
Total magnetic moment (μB per cell): 0.000
Total energy (eV/atom): -2.53
DFT formation energy (eV/atom): -0.064

10.
A plane-wave DFT calculation with PBEsol was carried out for an optimized crystal structure of TaOsS2N.

Cell and atoms, written as CIF:
```
data_TaOsS2N
_cell_length_a 4.7159
_cell_length_b 4.7159
_cell_length_c 3.6079
_cell_angle_alpha 90.00
_cell_angle_beta 90.00
_cell_angle_gamma 90.00
_space_group_name_H-M_alt 'P 4/m m m'
_space_group_IT_number 123
_space_group_name_Hall '-P 4 2'
loop_
_atom_site_label
_atom_site_fract_x
_atom_site_fract_y
_atom_site_fract_z
Ta1 0.0000 0.0000 0.0000
Os1 0.5000 0.5000 0.5000
S1 0.0000 0.5000 0.5000
N1 0.5000 0.5000 0.0000
```

Calculated values
Calculated density (Mg/m³): 9.30
Total magnetic moment (μB per cell): 1.613
Total energy (eV/atom): -7.74
Energy relative to the elements, uncorrected (eV/atom): 0.6768

11.
A plane-wave DFT calculation with PBEsol was carried out for an optimized crystal structure of CsFeOs3.

Cell and atoms, written as CIF:
```
data_CsFeOs3
_cell_length_a 4.5623
_cell_length_b 4.5623
_cell_length_c 4.5623
_cell_angle_alpha 90.00
_cell_angle_beta 90.00
_cell_angle_gamma 90.00
_space_group_name_H-M_alt 'P m -3 m'
_space_group_IT_number 221
_space_group_name_Hall '-P 4 2 3'
loop_
_atom_site_label
_atom_site_fract_x
_atom_site_fract_y
_atom_site_fract_z
Cs1 0.0000 0.0000 0.0000
Fe1 0.5000 0.5000 0.5000
Os1 0.0000 0.5000 0.5000
```

Calculated values
Calculated density (Mg/m³): 13.28
Total magnetic moment (μB per cell): 0.344
Total energy (eV/atom): -7.07
DFT formation energy (eV/atom): 2.237

12.
A plane-wave DFT calculation with PBEsol was carried out for an optimized crystal structure of TbFe3.

Cell and atoms, written as CIF:
```
data_TbFe3
_cell_length_a 4.9651
_cell_length_b 4.9651
_cell_length_c 23.8379
_cell_angle_alpha 90.00
_cell_angle_beta 90.00
_cell_angle_gamma 120.00
_space_group_name_H-M_alt 'R -3 m'
_space_group_IT_number 166
_space_group_name_Hall '-R 3 2"'
loop_
_atom_site_label
_atom_site_fract_x
_atom_site_fract_y
_atom_site_fract_z
Tb1 0.0000 0.0000 0.0000
Tb2 0.0000 0.0000 0.1420
Fe1 0.0000 0.0000 0.3327
Fe2 0.0000 0.0000 0.5000
Fe3 0.0001 0.5001 0.0810
```

Calculated values
Calculated density (Mg/m³): 9.59
Total magnetic moment (μB per cell): 43.952
Total energy (eV/atom): -8.02
DFT formation energy (eV/atom): -0.043